Entry 1:
The following is a DFT calculation (PBE) of TbNd8Sm6 after structural relaxation.

Geometry as CIF:
```
data_TbNd8Sm6
_chemical_formula_sum 'Tb3 Nd24 Sm18'
_space_group_name_H-M_alt 'R -3'
_space_group_IT_number 148
_space_group_name_Hall '-R 3'
_cell_length_a 9.2722
_cell_length_b 9.2722
_cell_length_c 21.0533
_cell_angle_alpha 90.00
_cell_angle_beta 90.00
_cell_angle_gamma 120.00
loop_
_atom_site_label
_atom_site_type_symbol
_atom_site_fract_x
_atom_site_fract_y
_atom_site_fract_z
Tb1 Tb 0.0000 0.0000 0.0000
Nd1 Nd 0.0000 0.0000 0.4223
Nd2 Nd 0.0805 0.5246 0.8068
Sm1 Sm 0.0518 0.8056 0.7069
```

Calculated values
E above lowest polymorph	0.000	eV per formula unit

---

Entry 2:
The following is a DFT calculation (PBE) of Tb3Nd2Sm5 after structural relaxation.

Geometry as CIF:
```
data_Tb3Nd2Sm5
_chemical_formula_sum 'Tb12 Nd8 Sm20'
_space_group_name_H-M_alt 'I b a m'
_space_group_IT_number 72
_space_group_name_Hall '-I 2 2c'
_cell_length_a 9.4634
_cell_length_b 21.9594
_cell_length_c 6.8960
_cell_angle_alpha 90.00
_cell_angle_beta 90.00
_cell_angle_gamma 90.00
loop_
_atom_site_label
_atom_site_type_symbol
_atom_site_fract_x
_atom_site_fract_y
_atom_site_fract_z
Tb1 Tb 0.0000 0.0000 0.2500
Tb2 Tb 0.2488 0.1220 0.0000
Nd1 Nd 0.1000 0.1227 0.5000
Sm1 Sm 0.0000 0.2487 0.2500
Sm2 Sm 0.0000 0.5000 0.2500
Sm3 Sm 0.0927 0.3737 0.0000
```

Calculated values
E above lowest polymorph	1.867	eV per formula unit

---

Entry 3:
The following is a DFT calculation (PBE) of Tb2Nd3Sm7 after structural relaxation.

Geometry as CIF:
```
data_Tb2Nd3Sm7
_chemical_formula_sum 'Tb2 Nd3 Sm7'
_space_group_name_H-M_alt 'P 1 2/m 1'
_space_group_IT_number 10
_cell_length_a 5.9364
_cell_length_b 3.6201
_cell_length_c 19.1206
_cell_angle_alpha 90.00
_cell_angle_beta 93.08
_cell_angle_gamma 90.00
loop_
_space_group_symop_operation_xyz
'x,y,z'
'-x,-y,-z'
'-x,y,-z'
'x,-y,z'
loop_
_atom_site_label
_atom_site_type_symbol
_atom_site_fract_x
_atom_site_fract_y
_atom_site_fract_z
Tb1 Tb 0.2092 0.0000 0.2947
Nd1 Nd 0.0000 0.0000 0.0000
Nd2 Nd 0.2814 0.5000 0.6335
Sm1 Sm 0.1867 0.5000 0.1447
Sm2 Sm 0.2429 0.0000 0.4637
Sm3 Sm 0.3114 0.0000 0.8213
Sm4 Sm 0.5000 0.5000 0.0000
```

Calculated values
E above lowest polymorph	0.000	eV per formula unit

---

Entry 4:
The following is a DFT calculation (PBE) of Tb3Nd2Sm2 after structural relaxation.

Geometry as CIF:
```
data_Tb3Nd2Sm2
_chemical_formula_sum 'Tb3 Nd2 Sm2'
_space_group_name_H-M_alt 'P -1'
_space_group_IT_number 2
_cell_length_a 6.2606
_cell_length_b 6.2626
_cell_length_c 6.2653
_cell_angle_alpha 99.66
_cell_angle_beta 99.64
_cell_angle_gamma 99.59
loop_
_space_group_symop_operation_xyz
'x,y,z'
'-x,-y,-z'
loop_
_atom_site_label
_atom_site_type_symbol
_atom_site_fract_x
_atom_site_fract_y
_atom_site_fract_z
Tb1 Tb 0.0000 0.0000 0.0000
Tb2 Tb 0.1418 0.2838 0.5711
Nd1 Nd 0.2850 0.5707 0.1444
Sm1 Sm 0.4274 0.8575 0.7141
```

Calculated values
E above lowest polymorph	0.000	eV per formula unit

---

Entry 5:
The following is a DFT calculation (PBE) of Tb12Nd5Sm after structural relaxation.

Geometry as CIF:
```
data_Tb12Nd5Sm
_chemical_formula_sum 'Tb24 Nd10 Sm2'
_space_group_name_H-M_alt 'C 1 2/m 1'
_space_group_IT_number 12
_cell_length_a 11.4442
_cell_length_b 17.4247
_cell_length_c 6.0059
_cell_angle_alpha 90.00
_cell_angle_beta 90.01
_cell_angle_gamma 90.00
loop_
_space_group_symop_operation_xyz
'x,y,z'
'-x,-y,-z'
'-x,y,-z'
'x,-y,z'
'x+1/2,y+1/2,z'
'-x+1/2,-y+1/2,-z'
'-x+1/2,y+1/2,-z'
'x+1/2,-y+1/2,z'
loop_
_atom_site_label
_atom_site_type_symbol
_atom_site_fract_x
_atom_site_fract_y
_atom_site_fract_z
Tb1 Tb 0.1775 0.1665 0.0526
Tb2 Tb 0.1780 0.0000 0.4443
Tb3 Tb 0.1778 0.3333 0.4473
Tb4 Tb 0.1792 0.5000 0.0555
Nd1 Nd 0.0000 0.1659 0.5000
Nd2 Nd 0.0000 0.3339 0.0000
Nd3 Nd 0.0000 0.5000 0.5000
Sm1 Sm 0.0000 0.0000 0.0000
```

Calculated values
DFT total energy	-0.336	Ry per atom

---

Entry 6:
The following is a DFT calculation (PBE) of Tb12Nd7Sm after structural relaxation.

Geometry as CIF:
```
data_Tb12Nd7Sm
_chemical_formula_sum 'Tb36 Nd21 Sm3'
_space_group_name_H-M_alt 'R -3'
_space_group_IT_number 148
_space_group_name_Hall '-R 3'
_cell_length_a 12.0727
_cell_length_b 12.0727
_cell_length_c 16.2804
_cell_angle_alpha 90.00
_cell_angle_beta 90.00
_cell_angle_gamma 120.00
loop_
_atom_site_label
_atom_site_type_symbol
_atom_site_fract_x
_atom_site_fract_y
_atom_site_fract_z
Tb1 Tb 0.0237 0.4480 0.2230
Tb2 Tb 0.0512 0.5869 0.5822
Nd1 Nd 0.0000 0.0000 0.0000
Nd2 Nd 0.0555 0.1881 0.2894
Sm1 Sm 0.0000 0.0000 0.5000
```

Calculated values
E above lowest polymorph	0.000	eV per formula unit

---

Entry 7:
The following is a DFT calculation (PBE) of Tb3Nd2Sm3 after structural relaxation.

Geometry as CIF:
```
data_Tb3Nd2Sm3
_chemical_formula_sum 'Tb6 Nd4 Sm6'
_space_group_name_H-M_alt 'P 1 21/m 1'
_space_group_IT_number 11
_cell_length_a 5.8143
_cell_length_b 14.6734
_cell_length_c 6.3417
_cell_angle_alpha 90.00
_cell_angle_beta 90.07
_cell_angle_gamma 90.00
loop_
_space_group_symop_operation_xyz
'x,y,z'
'-x,-y,-z'
'-x,y+1/2,-z'
'x,-y+1/2,z'
loop_
_atom_site_label
_atom_site_type_symbol
_atom_site_fract_x
_atom_site_fract_y
_atom_site_fract_z
Tb1 Tb 0.2491 0.2500 0.1631
Tb2 Tb 0.2498 0.0001 0.1659
Nd1 Nd 0.2510 0.6247 0.6690
Sm1 Sm 0.2498 0.1247 0.6651
Sm2 Sm 0.2504 0.7500 0.1686
```

Calculated values
E above lowest polymorph	0.000	eV per formula unit

---

Entry 8:
The following is a DFT calculation (PBE) of Tb4Nd2Sm3 after structural relaxation.

Geometry as CIF:
```
data_Tb4Nd2Sm3
_chemical_formula_sum 'Tb4 Nd2 Sm3'
_space_group_name_H-M_alt 'P -1'
_space_group_IT_number 2
_cell_length_a 6.2461
_cell_length_b 6.2550
_cell_length_c 9.5431
_cell_angle_alpha 108.94
_cell_angle_beta 90.13
_cell_angle_gamma 119.95
loop_
_space_group_symop_operation_xyz
'x,y,z'
'-x,-y,-z'
loop_
_atom_site_label
_atom_site_type_symbol
_atom_site_fract_x
_atom_site_fract_y
_atom_site_fract_z
Tb1 Tb 0.1103 0.3877 0.3321
Tb2 Tb 0.3324 0.1656 0.0000
Nd1 Nd 0.2229 0.2794 0.6678
Sm1 Sm 0.0000 0.5000 0.0000
Sm2 Sm 0.4449 0.0553 0.3320
```

Calculated values
E above lowest polymorph	0.000	eV per formula unit